Entry 1:
Material: CsTl8Pt2
Method: DFT, GGA-PBE
State: optimized geometry

Values from the calculation:
The calculation puts the density of states at the Fermi level at 0.444 states/eV per atom. The electronic total energy comes out at -2.9260 eV/atom. The formation energy from the elements comes out at -29 meV/atom.

```
CsTl8Pt2
1.0
-4.256 0.452 3.401
4.349 -5.024 4.691
2.895 7.504 1.209
Tl Pt Cs
8 2 1
direct
0.279 0.598 0.598
0.912 0.646 0.905
0.088 0.354 0.095
0.088 0.095 0.354
0.721 0.402 0.402
0.912 0.905 0.646
0.500 0.282 0.718
0.500 0.718 0.282
0.000 0.282 0.718
0.000 0.718 0.282
0.500 0.000 0.000
```


Entry 2:
Material: LiPuPdF6
Method: DFT, GGA-PBE
State: optimized geometry

Values from the calculation:
The calculation puts the density of states at the Fermi level at 0.661 states/eV per atom. The uncorrected formation energy is -2.63 eV/atom. The electronic total energy comes out at -6.2573 eV/atom.

```
LiPuPdF6
1.0
5.632 0.000 0.000
-2.816 4.878 0.000
0.000 0.000 9.657
F Li Pu Pd
12 2 2 2
direct
0.658 0.643 0.634
0.643 0.985 0.366
0.357 0.342 0.866
0.643 0.658 0.134
0.357 0.015 0.634
0.658 0.015 0.866
0.985 0.342 0.634
0.985 0.643 0.866
0.342 0.985 0.134
0.342 0.357 0.366
0.015 0.357 0.134
0.015 0.658 0.366
0.333 0.667 0.250
0.667 0.333 0.750
0.667 0.333 0.250
0.333 0.667 0.750
0.000 0.000 0.500
0.000 0.000 0.000
```


Entry 3:
Material: BaNaPt
Method: DFT, GGA-PBE
State: optimized geometry

Values from the calculation:
The calculation puts the density of states at the Fermi level at 0.691 states/eV per atom. The value obtained for the energy above the most stable polymorph in this dataset is 150 meV/atom. The electronic total energy comes out at -3.4047 eV/atom. The formation energy from the elements comes out at -311 meV/atom.

```
BaNaPt
1.0
4.321 0.000 0.000
0.000 4.906 0.000
0.000 -2.453 4.248
Na Ba Pt
1 1 1
direct
0.167 0.000 0.000
0.667 0.667 0.333
0.166 0.333 0.667
```


Entry 4:
Material: PaFe4Mo
Method: DFT, GGA-PBE
State: optimized geometry

Values from the calculation:
The calculation puts the density of states at the Fermi level at 1.661 states/eV per atom. The electronic total energy comes out at -8.9753 eV/atom. The formation energy from the elements comes out at 54 meV/atom.

```
PaFe4Mo
1.0
-0.354 -4.328 2.267
3.598 -3.295 -0.437
2.883 -1.001 3.831
Fe Mo Pa
4 1 1
direct
0.625 0.124 0.625
0.625 0.625 0.124
0.124 0.625 0.625
0.625 0.625 0.625
0.000 0.000 0.000
0.250 0.250 0.250
```


Entry 5:
Material: PmY2Ho8
Method: DFT, GGA-PBE
State: optimized geometry

Values from the calculation:
The calculation puts the density of states at the Fermi level at 1.426 states/eV per atom. The value obtained for the energy above the most stable polymorph in this dataset is 0 meV/atom. The electronic total energy comes out at -4.8183 eV/atom. The formation energy from the elements comes out at 118 meV/atom.

```
PmY2Ho8
1.0
5.265 0.001 -1.597
-0.989 7.321 -3.256
-0.040 -0.307 9.329
Ho Y Pm
8 2 1
direct
0.163 0.163 0.326
0.638 0.845 0.276
0.638 0.431 0.276
0.362 0.155 0.724
0.837 0.837 0.674
0.000 0.706 0.000
0.362 0.569 0.724
0.000 0.294 0.000
0.800 0.300 0.599
0.200 0.700 0.401
0.500 0.000 0.000
```


Entry 6:
Material: YCr2Cl
Method: DFT, GGA-PBE
State: optimized geometry

Values from the calculation:
The calculation puts the density of states at the Fermi level at 0.904 states/eV per atom. The value obtained for the energy above the most stable polymorph in this dataset is 158 meV/atom. The uncorrected formation energy is 0.02 eV/atom. The electronic total energy comes out at -6.8677 eV/atom.

```
YCr2Cl
1.0
8.514 -0.008 -0.004
7.862 3.266 -0.004
7.862 1.564 2.867
Cl Cr Y
1 2 1
direct
0.751 0.751 0.751
0.988 0.988 0.988
0.261 0.261 0.261
0.500 0.500 0.500
```


Entry 7:
Material: Cu2RhAu2
Method: DFT, GGA-PBE
State: optimized geometry

Values from the calculation:
The calculation puts the density of states at the Fermi level at 0.650 states/eV per atom. The value obtained for the energy above the most stable polymorph in this dataset is 0 meV/atom. The electronic total energy comes out at -4.1870 eV/atom. The formation energy from the elements comes out at 233 meV/atom.

```
Cu2RhAu2
1.0
7.492 0.000 0.000
0.000 7.492 0.000
0.000 0.000 2.801
Rh Au Cu
2 4 4
direct
0.000 0.000 0.000
0.500 0.500 0.000
0.364 0.864 0.000
0.636 0.136 0.000
0.136 0.364 0.000
0.864 0.636 0.000
0.663 0.837 0.500
0.163 0.663 0.500
0.837 0.337 0.500
0.337 0.163 0.500
```


Entry 8:
Material: Mg2TlCu
Method: DFT, GGA-PBE
State: optimized geometry

Values from the calculation:
The calculation puts the density of states at the Fermi level at 0.290 states/eV per atom. The electronic total energy comes out at -2.3522 eV/atom. The formation energy from the elements comes out at 61 meV/atom.

```
Mg2TlCu
1.0
5.324 -0.006 0.000
1.900 4.973 0.000
-3.612 -2.484 3.021
Cu Mg Tl
1 2 1
direct
0.750 0.250 0.500
0.250 0.750 0.500
0.000 0.000 0.000
0.500 0.500 0.000
```


Entry 9:
Material: TbZnPt2
Method: DFT, GGA-PBE
State: optimized geometry

Values from the calculation:
The calculation puts the density of states at the Fermi level at 0.310 states/eV per atom. The electronic total energy comes out at -5.3728 eV/atom. The formation energy from the elements comes out at -876 meV/atom.

```
TbZnPt2
1.0
3.510 0.000 0.000
0.000 3.510 0.000
0.000 0.000 5.930
Pt Tb Zn
2 1 1
direct
0.000 0.000 0.228
0.000 0.000 0.772
0.500 0.500 0.500
0.500 0.500 0.000
```


Entry 10:
Material: Zr2BeInH
Method: DFT, GGA-PBE
State: optimized geometry

Values from the calculation:
The calculation puts the density of states at the Fermi level at 0.603 states/eV per atom. The electronic total energy comes out at -5.5271 eV/atom.

```
Zr2BeInH
1.0
-2.892 0.499 3.228
-1.249 -4.153 -0.478
2.858 -1.175 2.742
Zr In H Be
2 1 1 1
direct
0.000 0.500 0.000
0.500 0.000 0.000
0.500 0.500 0.500
0.000 0.000 0.000
0.000 0.000 0.500
```


Entry 11:
Material: Ac3SmDy
Method: DFT, GGA-PBE
State: optimized geometry

Values from the calculation:
The calculation puts the density of states at the Fermi level at 1.441 states/eV per atom. The electronic total energy comes out at -4.1528 eV/atom. The formation energy from the elements comes out at 177 meV/atom.

```
Ac3SmDy
1.0
6.572 0.000 0.000
0.000 9.431 0.000
0.000 0.000 13.241
Ac Dy Sm
12 4 4
direct
0.136 0.250 0.250
0.913 0.827 0.074
0.587 0.173 0.074
0.087 0.173 0.926
0.587 0.327 0.426
0.636 0.250 0.750
0.087 0.327 0.574
0.413 0.827 0.926
0.413 0.673 0.574
0.913 0.673 0.426
0.864 0.750 0.750
0.364 0.750 0.250
0.750 0.000 0.306
0.750 0.500 0.194
0.250 0.500 0.806
0.250 0.000 0.694
0.750 0.500 0.942
0.750 0.000 0.558
0.250 0.500 0.058
0.250 0.000 0.442
```


Entry 12:
Material: TcPt6Au
Method: DFT, GGA-PBE
State: optimized geometry

Values from the calculation:
The calculation puts the density of states at the Fermi level at 1.434 states/eV per atom. The electronic total energy comes out at -6.2831 eV/atom. The formation energy from the elements comes out at -47 meV/atom.

```
TcPt6Au
1.0
3.984 0.000 0.000
0.000 3.984 0.000
0.000 0.000 7.950
Pt Au Tc
6 1 1
direct
0.500 0.500 0.000
0.500 0.000 0.739
0.500 0.000 0.261
0.000 0.500 0.739
0.000 0.500 0.261
0.500 0.500 0.500
0.000 0.000 0.000
0.000 0.000 0.500
```


Entry 13:
Material: Ba2ReSi
Method: DFT, GGA-PBE
State: optimized geometry

Values from the calculation:
The calculation puts the density of states at the Fermi level at 0.999 states/eV per atom. The uncorrected formation energy is 0.96 eV/atom. The electronic total energy comes out at -4.4710 eV/atom.

```
Ba2ReSi
1.0
5.869 -0.018 -0.001
-1.718 5.612 -0.001
0.000 0.000 3.457
Si Ba Re
1 2 1
direct
0.000 0.500 0.500
0.000 0.000 0.000
0.500 0.500 0.000
0.500 0.000 0.500
```


Entry 14:
Material: CsCaAlCu2
Method: DFT, GGA-PBE
State: optimized geometry

Values from the calculation:
The calculation puts the density of states at the Fermi level at 0.600 states/eV per atom. The electronic total energy comes out at -2.2672 eV/atom. The formation energy from the elements comes out at 691 meV/atom.

```
CsCaAlCu2
1.0
-0.038 3.846 -3.108
-1.123 -3.668 -4.525
-4.855 0.560 0.751
Cs Ca Cu Al
1 1 2 1
direct
0.000 0.500 0.000
0.500 0.500 0.500
0.000 0.000 0.500
0.500 0.000 0.000
0.000 0.000 0.000
```


Entry 15:
Material: BeSnW2
Method: DFT, GGA-PBE
State: optimized geometry

Values from the calculation:
The calculation puts the density of states at the Fermi level at 1.050 states/eV per atom. The value obtained for the energy above the most stable polymorph in this dataset is 0 meV/atom. The electronic total energy comes out at -7.6240 eV/atom. The formation energy from the elements comes out at 785 meV/atom.

```
BeSnW2
1.0
0.000 3.154 3.154
3.154 0.000 3.154
3.154 3.154 0.000
Be W Sn
1 2 1
direct
0.000 0.000 0.000
0.750 0.750 0.750
0.250 0.250 0.250
0.500 0.500 0.500
```


Entry 16:
Material: TbNdGeAu
Method: DFT, GGA-PBE
State: optimized geometry

Values from the calculation:
The calculation puts the density of states at the Fermi level at 0.669 states/eV per atom. The value obtained for the energy above the most stable polymorph in this dataset is 0 meV/atom. The electronic total energy comes out at -5.1391 eV/atom. The formation energy from the elements comes out at -816 meV/atom.

```
TbNdGeAu
1.0
-1.188 3.534 -1.754
-3.731 -1.902 -1.306
-1.869 -0.220 5.663
Nd Au Tb Ge
1 1 1 1
direct
0.858 0.500 0.716
0.420 0.000 0.839
0.135 0.000 0.271
0.587 0.500 0.174
```


Entry 17:
Material: YMo2Se
Method: DFT, GGA-PBE
State: optimized geometry

Values from the calculation:
The calculation puts the density of states at the Fermi level at 0.934 states/eV per atom. The uncorrected formation energy is -0.19 eV/atom. The electronic total energy comes out at -8.0883 eV/atom.

```
YMo2Se
1.0
3.271 0.000 0.000
0.000 3.442 -0.003
0.000 1.724 7.187
Se Mo Y
1 2 1
direct
0.000 0.313 0.500
0.500 0.455 0.213
0.000 0.039 0.045
0.500 0.692 0.742
```


Entry 18:
Material: Al2InRu
Method: DFT, GGA-PBE
State: optimized geometry

Values from the calculation:
The calculation puts the density of states at the Fermi level at 0.688 states/eV per atom. The electronic total energy comes out at -4.6718 eV/atom. The formation energy from the elements comes out at 203 meV/atom.

```
Al2InRu
1.0
-3.947 -0.545 0.626
-0.412 -1.355 -3.776
-0.561 -9.398 1.280
Al In Ru
4 2 2
direct
0.375 0.413 0.750
0.587 0.125 0.250
0.875 0.837 0.750
0.163 0.625 0.250
0.750 0.250 0.500
0.000 0.000 0.000
0.500 0.500 0.000
0.250 0.750 0.500
```


Entry 19:
Material: Ba2Li3InAu4
Method: DFT, GGA-PBE
State: optimized geometry

Values from the calculation:
The calculation puts the density of states at the Fermi level at 0.535 states/eV per atom. The electronic total energy comes out at -3.1200 eV/atom. The formation energy from the elements comes out at -577 meV/atom.

```
Ba2Li3InAu4
1.0
4.718 0.000 0.000
0.000 4.718 0.000
0.000 0.000 11.028
Au Li Ba In
4 3 2 1
direct
0.000 0.000 0.000
0.500 0.500 0.000
0.500 0.000 0.644
0.000 0.500 0.356
0.500 0.000 0.890
0.000 0.500 0.110
0.000 0.000 0.500
0.000 0.500 0.764
0.500 0.000 0.236
0.500 0.500 0.500
```


Entry 20:
Material: Sr3Rh2O6
Method: DFT, GGA-PBE
State: optimized geometry

Values from the calculation:
The calculation puts the density of states at the Fermi level at 0.435 states/eV per atom. The uncorrected formation energy is -1.77 eV/atom. The electronic total energy comes out at -6.2737 eV/atom.

```
Sr3Rh2O6
1.0
-2.750 0.219 -2.895
1.124 -3.596 -1.340
-5.950 -2.694 8.210
O Sr Rh
6 3 2
direct
0.917 0.417 0.834
0.083 0.583 0.166
0.417 0.917 0.834
0.583 0.083 0.166
0.300 0.300 0.599
0.700 0.700 0.401
0.180 0.180 0.360
0.820 0.820 0.640
0.000 0.000 0.000
0.600 0.600 0.201
0.400 0.400 0.799
```